(a)
## La6Nd3Ho (PBE)

Data for La6Nd3Ho after structural relaxation.

The space group is Cmc2_1 (No. 36) and the conventional cell measures 10.970, 19.625 and 6.659 Å, with angles of 90.00, 90.00 and 90.00 degrees. Symmetry generates all atoms from La at (0.000, 0.031, 0.000), La at (0.000, 0.281, 0.806), La at (0.174, 0.460, 0.703), La at (0.222, 0.293, 0.515), Nd at (0.000, 0.384, 0.225), Nd at (0.176, 0.119, 0.609) and Ho at (0.000, 0.188, 0.253).

=====

(b)
## La6Nd3Ho (PBE)

Data for La6Nd3Ho after structural relaxation.

The space group is P2_1/m (No. 11) and the conventional cell measures 12.028, 3.644 and 17.386 Å, with angles of 90.00, 108.61 and 90.00 degrees. Symmetry generates all atoms from La at (0.101, 0.250, 0.459), La at (0.132, 0.250, 0.088), La at (0.138, 0.250, 0.882), La at (0.348, 0.750, 0.607), La at (0.371, 0.750, 0.823), La at (0.398, 0.750, 0.241), Nd at (0.130, 0.750, 0.284), Nd at (0.375, 0.250, 0.423), Nd at (0.383, 0.750, 0.031) and Ho at (0.142, 0.250, 0.676).

=====

Last place for stability: (a)

=====

(a)
## La4NdHo (PBE)

Data for La4NdHo after structural relaxation.

The space group is C2/m (No. 12) and the conventional cell measures 11.351, 6.150 and 6.143 Å, with angles of 90.00, 90.03 and 90.00 degrees. Symmetry generates all atoms from La at (0.158, 0.000, 0.002), La at (0.159, 0.500, 0.498), Nd at (0.000, 0.500, 0.000) and Ho at (0.000, 0.000, 0.500).

=====

(b)
## La4NdHo (PBE)

Data for La4NdHo after structural relaxation.

The space group is Pmmm (No. 47) and the conventional cell measures 3.681, 5.242 and 11.036 Å, with angles of 90.00, 90.00 and 90.00 degrees. Symmetry generates all atoms from La at (0.000, 0.000, 0.167), La at (0.500, 0.500, 0.328), Nd at (0.000, 0.000, 0.500) and Ho at (0.500, 0.500, 0.000).

=====

Last place for stability: (a)

=====

(a)
## La2NdHo3 (PBE)

Data for La2NdHo3 after structural relaxation.

The space group is Cmc2_1 (No. 36) and the conventional cell measures 9.537, 13.193 and 6.504 Å, with angles of 90.00, 90.00 and 90.00 degrees. Symmetry generates all atoms from La at (0.171, 0.062, 0.000), Nd at (0.000, 0.331, 0.781), Ho at (0.000, 0.411, 0.257) and Ho at (0.182, 0.192, 0.475).

=====

(b)
## La2NdHo3 (PBE)

Data for La2NdHo3 after structural relaxation.

The space group is C2/c (No. 15) and the conventional cell measures 17.125, 6.983 and 7.052 Å, with angles of 90.00, 101.89 and 90.00 degrees. Symmetry generates all atoms from La at (0.177, 0.010, 0.090), Nd at (0.000, 0.235, 0.750), Ho at (0.000, 0.236, 0.250) and Ho at (0.137, 0.493, 0.567).

=====

Last place for stability: (a)